No. 1
Tm3CdHg3 | GGA-PBE | optimized geometry

## Properties
**Space group**: P6_3/m (176)
**Crystal system**: hexagonal
**DFT formation energy**: -0.26 eV/atom

Cell lengths 5.171, 8.909, 8.909 Å; angles 120.00, 90.00, 90.00 degrees
Positions (direct):
Tm (0.750, 0.900, 0.349)
Tm (0.250, 0.349, 0.449)
Tm (0.750, 0.651, 0.551)
Tm (0.750, 0.449, 0.100)
Tm (0.250, 0.100, 0.651)
Tm (0.250, 0.551, 0.900)
Cd (0.250, 0.667, 0.333)
Cd (0.750, 0.333, 0.667)
Hg (0.250, 0.790, 0.750)
Hg (0.750, 0.750, 0.959)
Hg (0.750, 0.041, 0.790)
Hg (0.750, 0.210, 0.250)
Hg (0.250, 0.959, 0.210)
Hg (0.250, 0.250, 0.041)


No. 2
Cs3BePb | GGA-PBE | optimized geometry

## Properties
**Space group**: Pm-3m (221)
**Crystal system**: cubic
**DFT formation energy**: 0.65 eV/atom

Cell lengths 6.714, 6.714, 6.714 Å; angles 90.00, 90.00, 90.00 degrees
Positions (direct):
Pb (0.500, 0.500, 0.500)
Be (0.000, 0.000, 0.000)
Cs (0.000, 0.500, 0.000)
Cs (0.500, 0.000, 0.000)
Cs (0.000, 0.000, 0.500)


No. 3
CaPm2SmHg4 | GGA-PBE | optimized geometry

## Properties
**Space group**: R-3m (166)
**Crystal system**: trigonal
**DFT formation energy**: -0.51 eV/atom

Cell lengths 5.377, 5.377, 9.299 Å; angles 73.20, 73.20, 60.00 degrees
Positions (direct):
Pm (0.252, 0.252, 0.243)
Pm (0.748, 0.748, 0.757)
Sm (0.500, 0.500, 0.500)
Hg (0.126, 0.126, 0.622)
Hg (0.376, 0.376, 0.872)
Hg (0.624, 0.624, 0.128)
Hg (0.874, 0.874, 0.378)
Ca (0.000, 0.000, 0.000)


No. 4
Y8Te4As3Au | GGA-PBE | optimized geometry

## Properties
**Space group**: R-3m (166)
**Crystal system**: trigonal
**Formation energy from raw total energies**: -1388 meV per atom

Cell lengths 8.477, 8.579, 8.477 Å; angles 119.61, 120.00, 90.00 degrees
Positions (direct):
As (0.500, 0.500, 0.000)
As (0.500, 0.500, 0.500)
As (0.000, 0.500, 0.500)
Te (0.500, 0.000, 0.500)
Te (0.000, 0.000, 0.500)
Te (0.000, 0.000, 0.000)
Te (0.500, 0.000, 0.000)
Au (0.000, 0.500, 0.000)
Y (0.261, 0.282, 0.522)
Y (0.758, 0.277, 0.019)
Y (0.739, 0.723, 0.981)
Y (0.758, 0.277, 0.517)
Y (0.242, 0.723, 0.483)
Y (0.739, 0.718, 0.478)
Y (0.242, 0.723, 0.981)
Y (0.261, 0.277, 0.019)


No. 5
ErScU2As4 | GGA-PBE | optimized geometry

## Properties
**Space group**: P2/m (10)
**Crystal system**: monoclinic
**DFT formation energy**: -1.06 eV/atom

Cell lengths 4.008, 6.971, 7.027 Å; angles 109.15, 90.00, 90.00 degrees
Positions (direct):
Er (0.500, 0.500, 0.000)
As (0.000, 0.246, 0.755)
As (0.000, 0.754, 0.245)
As (0.500, 0.241, 0.241)
As (0.500, 0.759, 0.759)
U (0.500, 0.000, 0.500)
U (0.000, 0.500, 0.500)
Sc (0.000, 0.000, 0.000)


No. 6
Sr2Sn3AsPt4 | GGA-PBE | optimized geometry

## Properties
**Space group**: P-4m2 (115)
**Crystal system**: tetragonal
**DFT formation energy**: -0.76 eV/atom

Cell lengths 4.681, 4.681, 10.546 Å; angles 90.00, 90.00, 90.00 degrees
Positions (direct):
Pt (0.000, 0.000, 0.000)
Pt (0.500, 0.000, 0.621)
Pt (0.000, 0.500, 0.379)
Pt (0.500, 0.500, 0.000)
Sn (0.000, 0.000, 0.500)
Sn (0.000, 0.500, 0.126)
Sn (0.500, 0.000, 0.874)
Sr (0.000, 0.500, 0.749)
Sr (0.500, 0.000, 0.251)
As (0.500, 0.500, 0.500)


No. 7
BeReW4 | GGA-PBE | optimized geometry

## Properties
**Space group**: F-43m (216)
**Crystal system**: cubic
**DFT formation energy**: 0.68 eV/atom

Cell lengths 5.185, 5.185, 5.185 Å; angles 60.00, 60.00, 60.00 degrees
Positions (direct):
Re (0.000, 0.000, 0.000)
W (0.375, 0.375, 0.874)
W (0.375, 0.375, 0.375)
W (0.874, 0.375, 0.375)
W (0.375, 0.874, 0.375)
Be (0.750, 0.750, 0.750)


No. 8
KLi5 | GGA-PBE | optimized geometry

## Properties
**Space group**: Cmmm (65)
**Crystal system**: orthorhombic
**DFT formation energy**: 0.13 eV/atom

Cell lengths 3.595, 5.616, 8.641 Å; angles 108.96, 90.00, 90.00 degrees
Positions (direct):
Li (0.500, 0.196, 0.392)
Li (0.000, 0.341, 0.682)
Li (0.000, 0.659, 0.318)
Li (0.500, 0.804, 0.608)
Li (0.500, 0.500, 0.000)
K (0.000, 0.000, 0.000)


No. 9
SmTm2Pb | GGA-PBE | optimized geometry

## Properties
**Space group**: P2_1/m (11)
**Crystal system**: monoclinic
**DFT formation energy**: -0.30 eV/atom

Cell lengths 4.714, 4.635, 11.457 Å; angles 101.63, 90.00, 90.00 degrees
Positions (direct):
Tm (0.250, 0.556, 0.111)
Tm (0.250, 0.938, 0.877)
Tm (0.750, 0.062, 0.123)
Tm (0.750, 0.444, 0.889)
Pb (0.750, 0.837, 0.671)
Pb (0.250, 0.163, 0.329)
Sm (0.750, 0.690, 0.382)
Sm (0.250, 0.310, 0.618)


No. 10
Sn5Sb4Te | GGA-PBE | optimized geometry

## Properties
**Space group**: Immm (71)
**Crystal system**: orthorhombic
**Formation energy from raw total energies**: -41 meV per atom

Cell lengths 4.425, 6.178, 11.613 Å; angles 105.42, 100.98, 90.00 degrees
Positions (direct):
Te (0.000, 0.000, 0.000)
Sb (0.798, 0.798, 0.597)
Sb (0.202, 0.202, 0.403)
Sb (0.599, 0.599, 0.198)
Sb (0.401, 0.401, 0.802)
Sn (0.000, 0.500, 0.000)
Sn (0.394, 0.894, 0.789)
Sn (0.803, 0.303, 0.605)
Sn (0.606, 0.106, 0.211)
Sn (0.197, 0.697, 0.395)


No. 11
VSiTc | GGA-PBE | optimized geometry

## Properties
**Space group**: Cmcm (63)
**Crystal system**: orthorhombic
**Formation energy from raw total energies**: -394 meV per atom

Cell lengths 4.324, 8.439, 4.377 Å; angles 90.00, 90.00, 90.00 degrees
Positions (direct):
V (0.500, 0.576, 0.750)
V (0.000, 0.924, 0.250)
V (0.000, 0.076, 0.750)
V (0.500, 0.424, 0.250)
Si (0.000, 0.752, 0.750)
Si (0.000, 0.248, 0.250)
Si (0.500, 0.748, 0.250)
Si (0.500, 0.252, 0.750)
Tc (0.500, 0.908, 0.750)
Tc (0.500, 0.092, 0.250)
Tc (0.000, 0.592, 0.250)
Tc (0.000, 0.408, 0.750)


No. 12
Be2NiAs | GGA-PBE | optimized geometry

## Properties
**Space group**: P4mm (99)
**Crystal system**: tetragonal
**DFT formation energy**: 0.04 eV/atom

Cell lengths 3.117, 3.117, 4.615 Å; angles 90.00, 90.00, 90.00 degrees
Positions (direct):
Be (0.000, 0.000, 0.010)
Be (0.500, 0.500, 0.252)
Ni (0.000, 0.000, 0.485)
As (0.500, 0.500, 0.753)


No. 13
Rb2In3Hg5 | GGA-PBE | optimized geometry

## Properties
**Space group**: P-4m2 (115)
**Crystal system**: tetragonal
**DFT formation energy**: -0.15 eV/atom

Cell lengths 5.343, 5.343, 11.743 Å; angles 90.00, 90.00, 90.00 degrees
Positions (direct):
Hg (0.500, 0.500, 0.000)
Hg (0.000, 0.000, 0.000)
Hg (0.500, 0.000, 0.869)
Hg (0.500, 0.500, 0.500)
Hg (0.000, 0.500, 0.131)
In (0.000, 0.000, 0.500)
In (0.000, 0.500, 0.381)
In (0.500, 0.000, 0.619)
Rb (0.500, 0.000, 0.243)
Rb (0.000, 0.500, 0.757)


No. 14
Zr2SbCl | GGA-PBE | optimized geometry

## Properties
**Space group**: Cmmm (65)
**Crystal system**: orthorhombic
**Formation energy from raw total energies**: -414 meV per atom

Cell lengths 3.258, 3.258, 8.849 Å; angles 90.00, 90.00, 111.82 degrees
Positions (direct):
Cl (0.500, 0.500, 0.250)
Zr (0.000, 0.000, 0.495)
Zr (0.000, 0.000, 0.005)
Sb (0.500, 0.500, 0.750)